Entry 1:
A plane-wave DFT calculation with PBE was carried out for crystalline Sc4MnHg at its relaxed geometry.

Results
symmetry = F-43m (216)

The structure in POSCAR format:
```
Sc4MnHg
1.0
4.637 -0.738 3.313
1.879 4.303 3.314
-0.568 -0.312 5.710
Sc Mn Hg
4 1 1
direct
0.877 0.374 0.374
0.374 0.877 0.374
0.374 0.374 0.374
0.374 0.374 0.877
0.000 0.000 0.000
0.750 0.750 0.750
```

***

Entry 2:
A plane-wave DFT calculation with PBE was carried out for crystalline Ce12SiGe6 at its relaxed geometry.

Results
symmetry = R-3 (148)

The structure in POSCAR format:
```
Ce12SiGe6
1.0
-0.788 0.940 7.756
-7.704 -0.218 -1.506
0.919 -7.793 0.288
Si Ce Ge
1 12 6
direct
0.000 0.000 0.000
0.433 0.537 0.160
0.998 0.095 0.353
0.002 0.905 0.647
0.567 0.463 0.840
0.160 0.433 0.537
0.537 0.160 0.433
0.647 0.002 0.905
0.840 0.567 0.463
0.463 0.840 0.567
0.353 0.998 0.095
0.905 0.647 0.002
0.095 0.353 0.998
0.736 0.315 0.159
0.841 0.264 0.685
0.159 0.736 0.315
0.685 0.841 0.264
0.264 0.685 0.841
0.315 0.159 0.736
```

***

Entry 3:
A plane-wave DFT calculation with PBE was carried out for crystalline Ce2Si4Ir3Ru at its relaxed geometry.

Results
symmetry = P-4m2 (115)

The structure in POSCAR format:
```
Ce2Si4Ir3Ru
1.0
-3.895 -0.352 1.530
1.306 -3.001 2.632
2.028 6.776 6.720
Ru Ir Si Ce
1 3 4 2
direct
0.500 0.500 0.500
0.500 0.000 0.873
0.000 0.500 0.127
0.000 0.000 0.500
0.500 0.500 0.000
0.000 0.500 0.375
0.000 0.000 0.000
0.500 0.000 0.625
0.000 0.500 0.754
0.500 0.000 0.246
```

***

Entry 4:
A plane-wave DFT calculation with PBE was carried out for crystalline Pd4Pt3Au2 at its relaxed geometry.

Results
symmetry = P-1 (2)
energy relative to the lowest polymorph listed for this composition = 0 kJ/mol of formula units

The structure in POSCAR format:
```
Pd4Pt3Au2
1.0
0.606 -1.160 -2.463
1.478 -6.750 3.546
-7.287 1.494 -0.898
Pt Pd Au
3 4 2
direct
0.853 0.343 0.706
0.147 0.657 0.294
0.000 0.000 0.000
0.184 0.333 0.369
0.517 0.331 0.036
0.483 0.669 0.964
0.816 0.667 0.631
0.334 0.002 0.669
0.666 0.998 0.331
```

***

Entry 5:
A plane-wave DFT calculation with PBE was carried out for crystalline ThMgZn2Au4 at its relaxed geometry.

Results
symmetry = R-3m (166)

The structure in POSCAR format:
```
ThMgZn2Au4
1.0
4.554 0.000 0.000
2.277 3.944 0.000
2.277 1.315 8.715
Zn Au Mg Th
2 4 1 1
direct
0.759 0.759 0.724
0.241 0.241 0.276
0.128 0.128 0.615
0.606 0.606 0.181
0.394 0.394 0.819
0.872 0.872 0.385
0.500 0.500 0.500
0.000 0.000 0.000
```

***

Entry 6:
A plane-wave DFT calculation with PBE was carried out for crystalline La12Y5Ho2 at its relaxed geometry.

Results
symmetry = C2/m (12)
energy relative to the lowest polymorph listed for this composition = 94 kJ/mol of formula units

The structure in POSCAR format:
```
La12Y5Ho2
1.0
7.650 0.000 0.000
-3.825 8.789 4.310
0.000 0.291 10.074
La Y Ho
12 5 2
direct
0.604 0.672 0.493
0.516 0.033 0.649
0.910 0.320 0.156
0.932 0.328 0.507
0.068 0.672 0.493
0.410 0.320 0.156
0.001 0.002 0.204
0.090 0.680 0.844
0.484 0.967 0.351
0.999 0.998 0.796
0.590 0.680 0.844
0.396 0.328 0.507
0.000 0.000 0.500
0.826 0.653 0.168
0.322 0.644 0.190
0.174 0.347 0.832
0.678 0.356 0.810
0.699 0.000 0.000
0.301 0.000 0.000
```

***

Entry 7:
A plane-wave DFT calculation with PBE was carried out for crystalline La3Zn4 at its relaxed geometry.

Results
symmetry = I4/mmm (139)
energy relative to the lowest polymorph listed for this composition = 0 kJ/mol of formula units

The structure in POSCAR format:
```
La3Zn4
1.0
12.792 -6.092 3.353
9.993 -8.134 6.780
-11.881 5.259 -6.570
Zn La
4 3
direct
0.122 0.122 0.000
0.576 0.576 0.000
0.878 0.878 0.000
0.424 0.424 0.000
0.303 0.303 0.000
0.000 0.000 0.000
0.697 0.697 0.000
```

***

Entry 8:
A plane-wave DFT calculation with PBE was carried out for crystalline SiAs2Br at its relaxed geometry.

Results
symmetry = P4/mmm (123)
energy relative to the lowest polymorph listed for this composition = 65 kJ/mol of formula units

The structure in POSCAR format:
```
SiAs2Br
1.0
-0.825 0.514 3.175
-3.159 -0.727 -0.704
1.359 -7.409 1.553
Br As Si
1 2 1
direct
0.500 0.500 0.250
0.000 0.000 0.923
0.000 0.000 0.577
0.500 0.500 0.750
```

***

Number 1: E_tot -5.42 eV per atom, total moment 3.65 Bohr magnetons per cell. Number 2: E_tot -5.94 eV per atom, total moment 8.02 Bohr magnetons per cell. Number 3: E_tot -7.96 eV per atom, total moment 0.54 Bohr magnetons per cell. Number 4: E_tot -5.02 eV per atom, total moment 0.00 Bohr magnetons per cell. Number 5: E_tot -3.58 eV per atom, total moment 0.00 Bohr magnetons per cell. Number 6: E_tot -5.15 eV per atom, total moment 0.00 Bohr magnetons per cell. Number 7: E_tot -2.97 eV per atom, total moment 0.00 Bohr magnetons per cell. Number 8: E_tot -3.87 eV per atom, total moment 0.00 Bohr magnetons per cell.